Entry from the Alexandria database: an optimized crystal structure of CdGa2CoBi (PBE).

```
data_CdGa2CoBi
_chemical_formula_sum 'Cd1 Ga2 Co1 Bi1'
_cell_length_a 4.605
_cell_length_b 5.307
_cell_length_c 4.605
_cell_angle_alpha 90.00
_cell_angle_beta 90.00
_cell_angle_gamma 90.00
_space_group_name_H-M_alt 'P 1'
_space_group_IT_number 1
loop_
_space_group_symop_operation_xyz
'x,y,z'
loop_
_atom_site_label
_atom_site_fract_x
_atom_site_fract_y
_atom_site_fract_z
Co1 0.000 0.000 0.000
Bi1 0.000 0.500 0.000
Ga1 0.000 0.000 0.500
Ga2 0.500 0.000 0.000
Cd1 0.500 0.500 0.500
```

Formation energy (meV/atom): 61
Space-group type: P4/mmm


Entry from the Alexandria database: an optimized crystal structure of CdCoBi2I (PBE).

```
data_CdCoBi2I
_chemical_formula_sum 'Cd1 Co1 Bi2 I1'
_cell_length_a 5.107
_cell_length_b 5.325
_cell_length_c 5.107
_cell_angle_alpha 90.00
_cell_angle_beta 90.00
_cell_angle_gamma 90.00
_space_group_name_H-M_alt 'P 1'
_space_group_IT_number 1
loop_
_space_group_symop_operation_xyz
'x,y,z'
loop_
_atom_site_label
_atom_site_fract_x
_atom_site_fract_y
_atom_site_fract_z
I1 0.500 0.500 0.500
Co1 0.000 0.000 0.000
Bi1 0.000 0.000 0.500
Bi2 0.500 0.000 0.000
Cd1 0.000 0.500 0.000
```

Uncorrected formation energy (eV per atom): 0.181
Space-group type: P4/mmm


no.,volume (Å³ per cell)
1,112.55
2,138.90